[1]
AlGaSi2H (PBE-GGA, optimized geometry); crystal system = tetragonal
1.0
-2.778 4.104 0.352
-2.439 -1.745 1.088
1.592 0.678 4.657
Si Al Ga H
2 1 1 1
Cartesian
0.796 0.339 2.329 Si
-1.389 2.052 0.176 Si
-1.813 1.518 3.049 Al
0.000 0.000 0.000 Ga
-1.220 -0.872 0.544 H

=====

[2]
CaPt3 (PBE-GGA, optimized geometry); crystal system = orthorhombic
1.0
-1.383 -3.912 -1.935
3.365 0.955 -4.337
4.355 -2.896 2.742
Ca Pt
2 6
Cartesian
3.623 -2.798 -2.350 Ca
1.229 0.349 -1.584 Ca
0.962 -2.615 -0.818 Pt
3.053 -1.200 0.243 Pt
6.267 -1.415 -1.620 Pt
1.799 -1.249 -4.177 Pt
3.890 0.166 -3.116 Pt
2.940 -3.930 0.427 Pt

=====

[3]
RhPb8Au2 (PBE-GGA, optimized geometry); crystal system = monoclinic; polymorph energy (0 for the lowest one) = 0.0000 eV/atom
1.0
-4.241 -2.317 -0.377
1.627 -3.880 5.555
-2.211 8.565 3.395
Au Pb Rh
2 8 1
Cartesian
-4.448 2.502 3.501 Au
-0.377 -0.134 5.072 Au
-3.455 0.377 5.395 Pb
-1.867 -2.667 6.233 Pb
-5.893 5.058 4.046 Pb
-2.190 -1.514 2.781 Pb
-2.635 3.882 5.792 Pb
-1.370 1.991 3.178 Pb
1.068 -2.690 4.527 Pb
-2.959 5.035 2.340 Pb
-2.121 -1.159 -0.188 Rh

=====

[4]
PrIn2Ga (PBE-GGA, optimized geometry); crystal system = tetragonal; polymorph energy (0 for the lowest one) = 0.0000 eV/atom
1.0
4.788 0.000 0.000
0.000 4.565 0.000
0.000 0.000 4.565
In Ga Pr
2 1 1
Cartesian
0.000 2.283 0.000 In
0.000 0.000 2.283 In
2.394 0.000 0.000 Ga
2.394 2.283 2.283 Pr

=====

[5]
HfP2H (PBE-GGA, optimized geometry); crystal system = tetragonal; polymorph energy (0 for the lowest one) = 0.0000 eV/atom
1.0
-4.657 -3.513 0.640
3.473 -4.211 2.154
-1.023 -2.778 4.209
H P Hf
2 4 2
Cartesian
-0.592 -3.862 1.397 H
0.929 -5.426 3.880 H
-2.158 -8.412 5.382 P
-0.856 -5.410 4.425 P
0.857 -4.124 2.544 P
-2.256 -3.058 1.656 P
0.000 0.000 0.000 Hf
-3.136 -5.076 3.123 Hf

=====

[6]
VZnAu2 (PBE-GGA, optimized geometry); crystal system = trigonal
1.0
-1.023 -1.174 2.418
-2.364 -1.637 -0.084
3.972 -8.231 -0.604
Au Zn V
2 1 1
Cartesian
2.678 -6.380 -0.253 Au
0.165 -2.788 0.428 Au
1.712 -10.102 0.953 Zn
0.295 -5.524 0.865 V

=====

[7]
Ba2CrAg (PBE-GGA, optimized geometry); crystal system = tetragonal; polymorph energy (0 for the lowest one) = 0.1138 eV/atom
1.0
-3.771 -0.446 -1.105
1.168 -2.118 -3.129
-0.563 -7.813 5.078
Ba Cr Ag
2 1 1
Cartesian
-0.518 -7.196 4.677 Ba
-1.484 -3.816 -0.471 Ba
-0.322 -4.472 2.906 Cr
-1.686 -6.614 1.348 Ag

=====

[8]
BaLaTa (PBE-GGA, optimized geometry); crystal system = cubic; polymorph energy (0 for the lowest one) = 0.5159 eV/atom
1.0
-3.697 3.865 -0.755
-2.279 0.646 -4.855
-5.182 -1.329 -0.749
Ta Ba La
1 1 1
Cartesian
-8.369 2.386 -4.769 Ta
0.000 0.000 0.000 Ba
-5.579 1.591 -3.179 La

=====

Number 1: theoretical density 3.245 g/cm³, E_tot -3.680 eV per atom. Number 2: theoretical density 13.784 g/cm³, E_tot -5.562 eV per atom. Number 3: theoretical density 12.050 g/cm³, E_tot -3.973 eV per atom. Number 4: theoretical density 7.326 g/cm³, E_tot -3.791 eV per atom. Number 5: theoretical density 7.651 g/cm³, E_tot -6.218 eV per atom. Number 6: theoretical density 13.129 g/cm³, E_tot -4.202 eV per atom. Number 7: theoretical density 4.942 g/cm³, E_tot -3.733 eV per atom. Number 8: theoretical density 6.812 g/cm³, E_tot -5.011 eV per atom.